The following is a PBE calculation of crystalline Cs2YInF6 at its relaxed geometry, from Alexandria.

Properties
DFT total energy, eV per atom: -5.306
D(E_F), states/eV per cell: 0.00
Offset from the most stable computed form, meV/atom: 0

Cell lengths 6.897, 6.853, 9.697 Å; angles 90.00, 90.38, 90.00 degrees
Element x y z (fractional)
F (0.565, 0.016, 0.278)
Y (0.500, 0.000, 0.500)
F (0.254, 0.200, 0.467)
Y (0.000, 0.500, 0.000)
F (0.246, 0.700, 0.033)
F (0.435, 0.984, 0.722)
Cs (0.495, 0.480, 0.250)
F (0.065, 0.484, 0.778)
F (0.805, 0.749, 0.962)
F (0.935, 0.516, 0.222)
In (0.500, 0.000, 0.000)
F (0.754, 0.300, 0.967)
Cs (0.505, 0.520, 0.750)
Cs (0.995, 0.020, 0.750)
F (0.305, 0.751, 0.462)
Cs (0.005, 0.980, 0.250)
F (0.746, 0.800, 0.533)
F (0.695, 0.249, 0.538)
F (0.195, 0.251, 0.038)
In (0.000, 0.500, 0.500)

***

The following is a PBE calculation of crystalline Cs2ZnInF6 at its relaxed geometry, from Alexandria.

Properties
DFT total energy, eV per atom: -4.131
D(E_F), states/eV per cell: 2.99

Cell lengths 6.324, 6.324, 6.327 Å; angles 60.02, 60.02, 90.00 degrees
Element x y z (fractional)
F (0.737, 0.263, 0.000)
In (0.000, 0.000, 0.000)
F (0.263, 0.263, 0.000)
Zn (0.500, 0.500, 0.000)
F (0.263, 0.263, 0.474)
F (0.737, 0.737, 0.526)
F (0.263, 0.737, 0.000)
F (0.737, 0.737, 0.000)
Cs (0.250, 0.750, 0.500)
Cs (0.750, 0.250, 0.500)

***

The following is a PBE calculation of crystalline CsZn2In2F7 at its relaxed geometry, from Alexandria.

Properties
DFT total energy, eV per atom: -4.012
D(E_F), states/eV per cell: 0.00

Cell lengths 6.116, 6.116, 9.138 Å; angles 70.45, 70.45, 60.00 degrees
Element x y z (fractional)
F (0.564, 0.151, 0.293)
F (0.151, 0.992, 0.293)
Zn (0.078, 0.078, 0.767)
F (0.008, 0.849, 0.707)
F (0.992, 0.564, 0.293)
In (0.295, 0.295, 0.115)
In (0.705, 0.705, 0.885)
Zn (0.922, 0.922, 0.233)
Cs (0.500, 0.500, 0.500)
F (0.436, 0.008, 0.707)
F (0.000, 0.000, 0.000)
F (0.849, 0.436, 0.707)

***

The following is a PBE calculation of crystalline CsZrInF6 at its relaxed geometry, from Alexandria.

Properties
DFT total energy, eV per atom: -5.699
D(E_F), states/eV per cell: 0.00

Cell lengths 6.716, 6.716, 5.597 Å; angles 90.07, 89.93, 59.30 degrees
Element x y z (fractional)
F (0.339, 0.078, 0.705)
F (0.341, 0.581, 0.293)
F (0.581, 0.341, 0.707)
In (0.666, 0.666, 0.500)
F (0.590, 0.070, 0.301)
F (0.078, 0.338, 0.295)
Cs (0.001, 0.001, 0.000)
Zr (0.334, 0.334, 0.500)
F (0.070, 0.590, 0.699)

***

The following is a PBE calculation of crystalline CsZrIn2F8 at its relaxed geometry, from Alexandria.

Properties
DFT total energy, eV per atom: -5.274
D(E_F), states/eV per cell: 2.90

Cell lengths 5.460, 5.958, 7.444 Å; angles 89.32, 85.84, 92.80 degrees
Element x y z (fractional)
F (0.703, 0.962, 0.855)
Cs (0.000, 0.000, 0.500)
F (0.537, 0.293, 0.503)
F (0.463, 0.707, 0.497)
F (0.156, 0.761, 0.838)
In (0.516, 0.484, 0.241)
F (0.844, 0.239, 0.162)
Zr (0.000, 0.000, 0.000)
F (0.297, 0.038, 0.145)
F (0.863, 0.747, 0.178)
In (0.484, 0.516, 0.759)
F (0.137, 0.253, 0.822)

***

The following is a PBE calculation of crystalline Cs2IrF7 at its relaxed geometry, from Alexandria.

Properties
DFT total energy, eV per atom: -4.339
D(E_F), states/eV per cell: 17.58
Offset from the most stable computed form, meV/atom: 86

Cell lengths 6.699, 6.699, 6.699 Å; angles 60.00, 60.00, 60.00 degrees
Each line ends with the local moment (μB).
Element x y z (fractional)
F (0.500, 0.500, 0.500)  0.38
F (0.205, 0.795, 0.205)  0.07
F (0.205, 0.795, 0.795)  0.07
F (0.795, 0.205, 0.795)  0.07
F (0.795, 0.205, 0.205)  0.07
Ir (0.000, 0.000, 0.000)  1.03
F (0.205, 0.205, 0.795)  0.07
Cs (0.750, 0.750, 0.750)  0.00
F (0.795, 0.795, 0.205)  0.07
Cs (0.250, 0.250, 0.250)  0.00

***

The following is a PBE calculation of crystalline Cs3IrF7 at its relaxed geometry, from Alexandria.

Properties
DFT total energy, eV per atom: -4.523
D(E_F), states/eV per cell: 22.98

Cell lengths 6.392, 8.672, 8.672 Å; angles 90.00, 90.00, 90.00 degrees
Each line ends with the local moment (μB).
Element x y z (fractional)
F (0.223, 0.111, 0.389)  0.04
F (0.000, 0.161, 0.661)  0.04
F (0.777, 0.111, 0.389)  0.04
F (0.500, 0.500, 0.500)  0.00
F (0.777, 0.889, 0.611)  0.04
Cs (0.500, 0.192, 0.692)  0.00
Ir (0.000, 0.500, 0.000)  0.71
F (0.777, 0.611, 0.111)  0.04
F (0.223, 0.889, 0.611)  0.04
Cs (0.500, 0.692, 0.808)  0.00
Cs (0.000, 0.000, 0.000)  0.00
F (0.500, 0.000, 0.000)  0.00
Ir (0.000, 0.000, 0.500)  0.71
F (0.223, 0.611, 0.111)  0.04
F (0.000, 0.661, 0.839)  0.04
Cs (0.500, 0.808, 0.308)  0.00
F (0.000, 0.339, 0.161)  0.04
F (0.777, 0.389, 0.889)  0.04
F (0.000, 0.839, 0.339)  0.04
Cs (0.000, 0.500, 0.500)  0.00
Cs (0.500, 0.308, 0.192)  0.00
F (0.223, 0.389, 0.889)  0.04

***

The following is a PBE calculation of crystalline CsIrF2 at its relaxed geometry, from Alexandria.

Properties
DFT total energy, eV per atom: -4.064
D(E_F), states/eV per cell: 0.16
Offset from the most stable computed form, meV/atom: 4

Cell lengths 5.071, 5.071, 7.816 Å; angles 71.07, 71.07, 90.00 degrees
Element x y z (fractional)
F (0.375, 0.159, 0.750)
F (0.875, 0.091, 0.750)
F (0.909, 0.625, 0.250)
Ir (0.750, 0.250, 0.500)
Cs (0.500, 0.500, 0.000)
Ir (0.000, 0.000, 0.000)
Cs (0.250, 0.750, 0.500)
F (0.841, 0.125, 0.250)

***

The following is a PBE calculation of crystalline Cs2IrF7 at its relaxed geometry, from Alexandria.

Properties
DFT total energy, eV per atom: -4.424
Offset from the most stable computed form, meV/atom: 0

Cell lengths 6.441, 8.633, 8.300 Å; angles 79.73, 67.17, 68.10 degrees
Each line ends with the local moment (μB).
Element x y z (fractional)
F (0.045, 0.672, 0.482)  0.01
F (0.335, 0.750, 0.250)  0.00
F (0.715, 0.731, 0.401)  0.00
Cs (0.376, 0.076, 0.265)  0.00
F (0.124, 0.013, 0.673)  0.01
F (0.876, 0.987, 0.327)  0.01
F (0.190, 0.513, 0.173)  0.01
F (0.153, 0.231, 0.901)  0.00
F (0.285, 0.269, 0.599)  0.00
Cs (0.284, 0.576, 0.765)  0.00
F (0.200, 0.828, 0.018)  0.01
F (0.665, 0.250, 0.750)  0.00
Cs (0.716, 0.424, 0.235)  0.00
F (0.847, 0.769, 0.099)  0.00
Ir (0.029, 0.750, 0.250)  0.05
Ir (0.971, 0.250, 0.750)  0.05
F (0.810, 0.487, 0.827)  0.01
F (0.800, 0.172, 0.982)  0.01
F (0.955, 0.328, 0.518)  0.01
Cs (0.624, 0.924, 0.735)  0.00

***

The following is a PBE calculation of crystalline CsIrF2 at its relaxed geometry, from Alexandria.

Properties
DFT total energy, eV per atom: -3.601
D(E_F), states/eV per cell: 2.70
Offset from the most stable computed form, meV/atom: 466

Cell lengths 4.750, 4.750, 4.750 Å; angles 60.00, 60.00, 60.00 degrees
Each line ends with the local moment (μB).
Element x y z (fractional)
F (0.250, 0.250, 0.250)  0.09
F (0.750, 0.750, 0.750)  0.09
Cs (0.000, 0.000, 0.000)  0.00
Ir (0.500, 0.500, 0.500)  1.87

***

The following is a PBE calculation of crystalline CsIrF2 at its relaxed geometry, from Alexandria.

Properties
DFT total energy, eV per atom: -4.068
D(E_F), states/eV per cell: 0.16
Offset from the most stable computed form, meV/atom: 0

Cell lengths 6.082, 6.082, 6.082 Å; angles 38.09, 38.09, 38.09 degrees
Each line ends with the local moment (μB).
Element x y z (fractional)
Cs (0.000, 0.000, 0.000)  -0.01
Ir (0.500, 0.500, 0.500)  1.78
F (0.212, 0.212, 0.212)  0.10
F (0.788, 0.788, 0.788)  0.10

***

The following is a PBE calculation of crystalline CsLi2IrF8 at its relaxed geometry, from Alexandria.

Properties
DFT total energy, eV per atom: -4.527
D(E_F), states/eV per cell: 7.82

Cell lengths 5.166, 5.149, 7.969 Å; angles 80.61, 80.67, 71.93 degrees
Each line ends with the local moment (μB).
Element x y z (fractional)
Ir (0.000, 0.000, 0.000)  1.19
F (0.344, 0.345, 0.528)  0.06
F (0.656, 0.655, 0.472)  0.06
F (0.786, 0.248, 0.828)  0.06
F (0.214, 0.752, 0.172)  0.06
F (0.228, 0.229, 0.976)  0.17
Li (0.506, 0.506, 0.325)  0.00
F (0.248, 0.786, 0.828)  0.06
F (0.772, 0.771, 0.024)  0.17
Cs (0.000, 0.000, 0.500)  0.01
F (0.752, 0.214, 0.172)  0.06
Li (0.494, 0.494, 0.675)  0.00

***

The following is a PBE calculation of crystalline CsMgIrF6 at its relaxed geometry, from Alexandria.

Properties
DFT total energy, eV per atom: -4.922
D(E_F), states/eV per cell: 0.00

Cell lengths 5.423, 5.423, 6.616 Å; angles 90.00, 90.00, 59.99 degrees
Each line ends with the local moment (μB).
Element x y z (fractional)
Mg (0.667, 0.667, 0.500)  0.00
Cs (0.000, 0.000, 0.000)  0.00
F (0.366, 0.999, 0.664)  0.01
F (0.635, 0.999, 0.336)  0.01
F (0.999, 0.366, 0.336)  0.01
F (0.366, 0.635, 0.336)  0.01
F (0.635, 0.366, 0.664)  0.01
Ir (0.333, 0.333, 0.500)  0.15
F (0.999, 0.635, 0.664)  0.01

***

The following is a PBE calculation of crystalline CsIrNF2 at its relaxed geometry, from Alexandria.

Properties
DFT total energy, eV per atom: -5.287
D(E_F), states/eV per cell: 1.89
Offset from the most stable computed form, meV/atom: 0

Cell lengths 4.717, 4.717, 3.732 Å; angles 90.00, 90.00, 90.00 degrees
Each line ends with the local moment (μB).
Element x y z (fractional)
Cs (0.500, 0.500, 0.500)  0.00
Ir (0.000, 0.000, 0.000)  0.28
F (0.000, 0.500, 0.000)  0.02
N (0.000, 0.000, 0.500)  -0.01
F (0.500, 0.000, 0.000)  0.02

***

The following is a PBE calculation of crystalline CsIrNF2 at its relaxed geometry, from Alexandria.

Properties
DFT total energy, eV per atom: -2.941
D(E_F), states/eV per cell: 4.77
Offset from the most stable computed form, meV/atom: 2346

Cell lengths 5.330, 5.330, 4.900 Å; angles 90.00, 90.00, 90.00 degrees
Each line ends with the local moment (μB).
Element x y z (fractional)
Ir (0.500, 0.500, 0.500)  3.05
F (0.000, 0.500, 0.000)  0.21
Cs (0.000, 0.000, 0.000)  0.07
F (0.500, 0.000, 0.000)  0.21
N (0.000, 0.000, 0.500)  1.31

***

The following is a PBE calculation of crystalline Cs2IrO2F4 at its relaxed geometry, from Alexandria.

Properties
DFT total energy, eV per atom: -4.925
D(E_F), states/eV per cell: 6.38

Cell lengths 5.186, 6.315, 6.315 Å; angles 60.91, 88.94, 88.94 degrees
Each line ends with the local moment (μB).
Element x y z (fractional)
Cs (0.797, 0.333, 0.333)  0.00
O (0.710, 0.865, 0.865)  0.22
Cs (0.203, 0.667, 0.667)  0.00
O (0.290, 0.135, 0.135)  0.22
F (0.294, 0.697, 0.150)  0.00
F (0.706, 0.303, 0.850)  0.00
F (0.706, 0.850, 0.303)  0.00
Ir (0.500, 0.000, 0.000)  0.42
F (0.294, 0.150, 0.697)  0.00

***

The following is a PBE calculation of crystalline CsIrO2F at its relaxed geometry, from Alexandria.

Properties
DFT total energy, eV per atom: -5.506
D(E_F), states/eV per cell: 3.92

Cell lengths 3.789, 3.789, 7.196 Å; angles 90.00, 90.00, 90.00 degrees
Each line ends with the local moment (μB).
Element x y z (fractional)
O (0.500, 0.000, 0.000)  0.08
F (0.000, 0.000, 0.500)  0.00
Ir (0.000, 0.000, 0.000)  0.27
Cs (0.500, 0.500, 0.500)  0.00
O (0.000, 0.500, 0.000)  0.08

***

The following is a PBE calculation of crystalline CsIrOF2 at its relaxed geometry, from Alexandria.

Properties
DFT total energy, eV per atom: -2.978
D(E_F), states/eV per cell: 8.85
Offset from the most stable computed form, meV/atom: 2060

Cell lengths 5.217, 5.217, 4.295 Å; angles 90.00, 90.00, 90.00 degrees
Each line ends with the local moment (μB).
Element x y z (fractional)
O (0.000, 0.000, 0.500)  -0.02
F (0.000, 0.500, 0.000)  0.07
Cs (0.000, 0.000, 0.000)  0.00
F (0.500, 0.000, 0.000)  0.07
Ir (0.500, 0.500, 0.500)  2.51

***

The following is a PBE calculation of crystalline CsIrO2F at its relaxed geometry, from Alexandria.

Properties
DFT total energy, eV per atom: -3.045
D(E_F), states/eV per cell: 7.61

Cell lengths 4.415, 4.415, 5.270 Å; angles 90.00, 90.00, 90.00 degrees
Each line ends with the local moment (μB).
Element x y z (fractional)
O (0.500, 0.000, 0.000)  0.21
Cs (0.000, 0.000, 0.000)  0.12
O (0.000, 0.500, 0.000)  0.21
Ir (0.500, 0.500, 0.500)  2.26
F (0.000, 0.000, 0.500)  0.07

***

The following is a PBE calculation of crystalline CsIrOF2 at its relaxed geometry, from Alexandria.

Properties
DFT total energy, eV per atom: -5.037
D(E_F), states/eV per cell: 2.46
Offset from the most stable computed form, meV/atom: 0

Cell lengths 4.739, 4.739, 3.765 Å; angles 90.00, 90.00, 90.00 degrees
Element x y z (fractional)
O (0.000, 0.000, 0.500)
Ir (0.000, 0.000, 0.000)
F (0.500, 0.000, 0.000)
Cs (0.500, 0.500, 0.500)
F (0.000, 0.500, 0.000)

***

The following is a PBE calculation of crystalline Cs5IrO4F2 at its relaxed geometry, from Alexandria.

Properties
DFT total energy, eV per atom: -4.634

Cell lengths 7.181, 6.645, 8.195 Å; angles 90.00, 90.00, 122.70 degrees
Element x y z (fractional)
O (0.598, 0.000, 0.161)
Cs (0.411, 0.000, 0.500)
Ir (0.403, 0.000, 0.000)
Cs (0.711, 0.639, 0.764)
Cs (0.072, 0.361, 0.236)
O (0.598, 0.000, 0.839)
O (0.385, 0.268, 0.000)
F (0.953, 0.576, 0.500)
Cs (0.072, 0.361, 0.764)
Cs (0.711, 0.639, 0.236)
F (0.376, 0.424, 0.500)
O (0.117, 0.732, 0.000)

***

The following is a PBE calculation of crystalline Cs2PIrF6 at its relaxed geometry, from Alexandria.

Properties
DFT total energy, eV per atom: -4.397
D(E_F), states/eV per cell: 0.08

Cell lengths 5.985, 5.985, 6.871 Å; angles 64.18, 64.18, 90.00 degrees
Each line ends with the local moment (μB).
Element x y z (fractional)
F (0.810, 0.810, 0.379)  0.00
F (0.269, 0.731, 0.000)  0.05
F (0.731, 0.731, 0.000)  0.06
P (0.500, 0.500, 0.000)  0.41
Cs (0.250, 0.750, 0.500)  0.00
F (0.731, 0.269, 0.000)  0.05
Cs (0.750, 0.250, 0.500)  0.00
F (0.190, 0.190, 0.621)  0.00
F (0.269, 0.269, 0.000)  0.06
Ir (0.000, 0.000, 0.000)  0.87

***

The following is a PBE calculation of crystalline Cs2RbIrF6 at its relaxed geometry, from Alexandria.

Properties
DFT total energy, eV per atom: -4.560
D(E_F), states/eV per cell: 0.00

Cell lengths 6.679, 6.678, 6.678 Å; angles 59.93, 59.94, 59.94 degrees
Each line ends with the local moment (μB).
Element x y z (fractional)
F (0.784, 0.217, 0.784)  -0.01
F (0.216, 0.216, 0.783)  -0.01
Cs (0.250, 0.250, 0.250)  0.00
F (0.783, 0.216, 0.216)  -0.01
F (0.784, 0.784, 0.217)  -0.01
F (0.217, 0.784, 0.784)  -0.01
Rb (0.500, 0.500, 0.500)  0.00
F (0.216, 0.783, 0.216)  -0.01
Ir (0.000, 0.000, 0.000)  -0.16
Cs (0.750, 0.750, 0.750)  0.00

***

| no. | V (Å³/cell) | raw formation energy (eV per atom) |
| --- | --- | --- |
| 1 | 458.3 | -3.09 |
| 2 | 179.0 | -2.44 |
| 3 | 273.0 | -2.18 |
| 4 | 217.0 | -3.10 |
| 5 | 241.2 | -2.79 |
| 6 | 212.6 | -1.97 |
| 7 | 480.7 | -2.29 |
| 8 | 178.6 | -0.70 |
| 9 | 394.4 | -2.06 |
| 10 | 75.8 | -0.24 |
| 11 | 76.9 | -0.70 |
| 12 | 197.4 | -2.15 |
| 13 | 168.5 | -2.42 |
| 14 | 83.0 | -0.93 |
| 15 | 139.2 | 1.42 |
| 16 | 180.7 | -1.82 |
| 17 | 103.3 | -1.21 |
| 18 | 116.9 | 0.71 |
| 19 | 102.7 | 1.26 |
| 20 | 84.6 | -1.35 |
| 21 | 329.1 | -1.58 |
| 22 | 193.9 | -1.68 |
| 23 | 210.3 | -2.28 |